Computed, not measured: Li2ScPb after structural relaxation at the GGA-PBE level of DFT.

Properties
Density of states at the Fermi level: 2.418 states/eV/cell
E_tot: -3.57 eV/atom
Formation energy from the elements: -10.32 kJ/mol of atoms

Lattice parameters (Å, degrees): 3.583 3.807 6.270 90.00 90.00 90.00
Sites, in units of the cell vectors:
Li1 0.000 0.000 0.235
Li2 0.000 0.000 0.765
Sc1 0.500 0.500 0.500
Pb1 0.500 0.500 0.000